## w
Compound: Li2ZrBr
Source: Alexandria via LeMat-Bulk
Functional: GGA-PBE
Structure: optimized geometry

```
data_Li2ZrBr
_symmetry_space_group_name_H-M 'P 1'
_symmetry_Int_Tables_number 1
_symmetry_space_group_name_Hall 'P 1'
_cell_length_a 3.1962
_cell_length_b 3.2268
_cell_length_c 8.5205
_cell_angle_alpha 67.75
_cell_angle_beta 90.00
_cell_angle_gamma 90.00
loop_
_atom_site_label
_atom_site_type_symbol
_atom_site_fract_x
_atom_site_fract_y
_atom_site_fract_z
Br1 Br 0.5000 0.7500 0.7500
Li1 Li 0.0000 0.0551 0.9440
Li2 Li 0.0000 0.4449 0.5560
Zr1 Zr 0.5000 0.2500 0.2500
```

Results
Magnetization   0.1 μB/f.u.
Space group   Pmmm
Calculated volume   20.334 Å³ per atom

## x
Compound: Li2ZrBr
Source: Alexandria via LeMat-Bulk
Functional: GGA-PBE
Structure: optimized geometry

```
data_Li2ZrBr
_symmetry_space_group_name_H-M 'P 1'
_symmetry_Int_Tables_number 1
_symmetry_space_group_name_Hall 'P 1'
_cell_length_a 5.3437
_cell_length_b 5.3437
_cell_length_c 5.6551
_cell_angle_alpha 66.06
_cell_angle_beta 66.06
_cell_angle_gamma 34.37
loop_
_atom_site_label
_atom_site_type_symbol
_atom_site_fract_x
_atom_site_fract_y
_atom_site_fract_z
Li1 Li 0.0491 0.0491 0.0412
Li2 Li 0.2702 0.2702 0.2246
Zr1 Zr 0.4583 0.4583 0.6091
Br1 Br 0.7224 0.7224 0.6250
```

Results
Magnetization   0.0 μB/f.u.
Space group   Cm
Calculated volume   20.635 Å³ per atom

## y
Compound: Li2ZrBr
Source: Alexandria via LeMat-Bulk
Functional: GGA-PBE
Structure: optimized geometry

```
data_Li2ZrBr
_symmetry_space_group_name_H-M 'P 1'
_symmetry_Int_Tables_number 1
_symmetry_space_group_name_Hall 'P 1'
_cell_length_a 8.2927
_cell_length_b 8.2927
_cell_length_c 8.2927
_cell_angle_alpha 157.34
_cell_angle_beta 156.76
_cell_angle_gamma 32.68
loop_
_atom_site_label
_atom_site_type_symbol
_atom_site_fract_x
_atom_site_fract_y
_atom_site_fract_z
Zr1 Zr 0.4375 0.4375 0.0000
Br1 Br 0.2887 0.7887 0.5000
Li1 Li 0.7124 0.2124 0.5000
Li2 Li 0.0614 0.0614 0.0000
```

Results
Magnetization   0.0 μB/f.u.
Space group   Imm2
Calculated volume   21.656 Å³ per atom

## z
Compound: Li2ZrBr
Source: Alexandria via LeMat-Bulk
Functional: GGA-PBE
Structure: optimized geometry

```
data_Li2ZrBr
_symmetry_space_group_name_H-M 'P 1'
_symmetry_Int_Tables_number 1
_symmetry_space_group_name_Hall 'P 1'
_cell_length_a 5.0600
_cell_length_b 5.0600
_cell_length_c 5.0600
_cell_angle_alpha 60.00
_cell_angle_beta 60.00
_cell_angle_gamma 60.00
loop_
_atom_site_label
_atom_site_type_symbol
_atom_site_fract_x
_atom_site_fract_y
_atom_site_fract_z
Li1 Li 0.7500 0.7500 0.7500
Li2 Li 0.2500 0.2500 0.2500
Zr1 Zr 0.5000 0.5000 0.5000
Br1 Br 0.0000 0.0000 0.0000
```

Results
Magnetization   3.4 μB/f.u.
Space group   Fm-3m
Calculated volume   22.903 Å³ per atom

What is the stability order? It is w, y, x, z, from most stable to least stable.

## w
Compound: Li2ZrBr
Source: Alexandria via LeMat-Bulk
Functional: GGA-PBE
Structure: optimized geometry

```
data_Li2ZrBr
_symmetry_space_group_name_H-M 'P 1'
_symmetry_Int_Tables_number 1
_symmetry_space_group_name_Hall 'P 1'
_cell_length_a 3.3092
_cell_length_b 3.3092
_cell_length_c 7.0357
_cell_angle_alpha 90.00
_cell_angle_beta 90.00
_cell_angle_gamma 90.00
loop_
_atom_site_label
_atom_site_type_symbol
_atom_site_fract_x
_atom_site_fract_y
_atom_site_fract_z
Br1 Br 0.5000 0.5000 0.7784
Li1 Li 0.0000 0.0000 0.9989
Li2 Li 0.5000 0.5000 0.2235
Zr1 Zr 0.0000 0.0000 0.4993
```

Results
Magnetization   0.0 μB/f.u.
Space group   P4mm
Calculated volume   19.261 Å³ per atom

## x
Compound: Li2ZrBr
Source: Alexandria via LeMat-Bulk
Functional: GGA-PBE
Structure: optimized geometry

```
data_Li2ZrBr
_symmetry_space_group_name_H-M 'P 1'
_symmetry_Int_Tables_number 1
_symmetry_space_group_name_Hall 'P 1'
_cell_length_a 4.9052
_cell_length_b 3.9766
_cell_length_c 3.9766
_cell_angle_alpha 90.00
_cell_angle_beta 90.00
_cell_angle_gamma 90.00
loop_
_atom_site_label
_atom_site_type_symbol
_atom_site_fract_x
_atom_site_fract_y
_atom_site_fract_z
Li1 Li 0.0000 0.0000 0.0000
Li2 Li 0.0000 0.5000 0.5000
Zr1 Zr 0.5000 0.5000 0.0000
Br1 Br 0.5000 0.0000 0.5000
```

Results
Magnetization   0.0 μB/f.u.
Space group   P4/mmm
Calculated volume   19.392 Å³ per atom

## y
Compound: Li2ZrBr
Source: Alexandria via LeMat-Bulk
Functional: GGA-PBE
Structure: optimized geometry

```
data_Li2ZrBr
_symmetry_space_group_name_H-M 'P 1'
_symmetry_Int_Tables_number 1
_symmetry_space_group_name_Hall 'P 1'
_cell_length_a 7.7443
_cell_length_b 7.7443
_cell_length_c 6.1077
_cell_angle_alpha 50.66
_cell_angle_beta 50.66
_cell_angle_gamma 90.00
loop_
_atom_site_label
_atom_site_type_symbol
_atom_site_fract_x
_atom_site_fract_y
_atom_site_fract_z
Br1 Br 0.2500 0.7500 0.5000
Br2 Br 0.5000 0.5000 0.0000
Li1 Li 0.3750 0.4317 0.7500
Li2 Li 0.5683 0.1250 0.2500
Li3 Li 0.8750 0.8183 0.7500
Li4 Li 0.1817 0.6250 0.2500
Zr1 Zr 0.7500 0.2500 0.5000
Zr2 Zr 0.0000 0.0000 0.0000
```

Results
Magnetization   0.0 μB/f.u.
Space group   I-42d
Calculated volume   20.279 Å³ per atom

What is the stability order? It is w, y, x, from most stable to least stable.

## w
Compound: Li2ZrBr
Source: Alexandria via LeMat-Bulk
Functional: GGA-PBE
Structure: optimized geometry

```
data_Li2ZrBr
_symmetry_space_group_name_H-M 'P 1'
_symmetry_Int_Tables_number 1
_symmetry_space_group_name_Hall 'P 1'
_cell_length_a 9.2852
_cell_length_b 9.2852
_cell_length_c 9.2852
_cell_angle_alpha 20.56
_cell_angle_beta 20.56
_cell_angle_gamma 20.56
loop_
_atom_site_label
_atom_site_type_symbol
_atom_site_fract_x
_atom_site_fract_y
_atom_site_fract_z
Li1 Li 0.0200 0.0200 0.0200
Li2 Li 0.4800 0.4800 0.4800
Br1 Br 0.7500 0.7500 0.7500
Zr1 Zr 0.2500 0.2500 0.2500
```

Results
Magnetization   0.7 μB/f.u.
Space group   R-3m
Calculated volume   21.614 Å³ per atom

## x
Compound: Li2ZrBr
Source: Alexandria via LeMat-Bulk
Functional: GGA-PBE
Structure: optimized geometry

```
data_Li2ZrBr
_symmetry_space_group_name_H-M 'P 1'
_symmetry_Int_Tables_number 1
_symmetry_space_group_name_Hall 'P 1'
_cell_length_a 3.2333
_cell_length_b 3.2333
_cell_length_c 9.0648
_cell_angle_alpha 90.00
_cell_angle_beta 90.00
_cell_angle_gamma 114.50
loop_
_atom_site_label
_atom_site_type_symbol
_atom_site_fract_x
_atom_site_fract_y
_atom_site_fract_z
Br1 Br 0.5000 0.5000 0.7500
Zr1 Zr 0.5000 0.5000 0.2500
Li1 Li 0.0000 0.0000 0.5554
Li2 Li 0.0000 0.0000 0.9446
```

Results
Magnetization   0.0 μB/f.u.
Space group   Cmmm
Calculated volume   21.559 Å³ per atom

What is the stability order? It is w, x, from most stable to least stable.

## w
Compound: Li2ZrBr
Source: Alexandria via LeMat-Bulk
Functional: GGA-PBE
Structure: optimized geometry

```
data_Li2ZrBr
_symmetry_space_group_name_H-M 'P 1'
_symmetry_Int_Tables_number 1
_symmetry_space_group_name_Hall 'P 1'
_cell_length_a 6.1575
_cell_length_b 6.1575
_cell_length_c 6.1575
_cell_angle_alpha 143.33
_cell_angle_beta 143.33
_cell_angle_gamma 52.82
loop_
_atom_site_label
_atom_site_type_symbol
_atom_site_fract_x
_atom_site_fract_y
_atom_site_fract_z
Li1 Li 0.5000 0.5000 0.0000
Li2 Li 0.0000 0.0000 0.0000
Zr1 Zr 0.2500 0.7500 0.5000
Br1 Br 0.7500 0.2500 0.5000
```

Results
Magnetization   0.0 μB/f.u.
Space group   I4/mmm
Calculated volume   20.686 Å³ per atom

## x
Compound: Li2ZrBr
Source: Alexandria via LeMat-Bulk
Functional: GGA-PBE
Structure: optimized geometry

```
data_Li2ZrBr
_symmetry_space_group_name_H-M 'P 1'
_symmetry_Int_Tables_number 1
_symmetry_space_group_name_Hall 'P 1'
_cell_length_a 3.2680
_cell_length_b 3.2680
_cell_length_c 9.5436
_cell_angle_alpha 90.00
_cell_angle_beta 90.00
_cell_angle_gamma 117.24
loop_
_atom_site_label
_atom_site_type_symbol
_atom_site_fract_x
_atom_site_fract_y
_atom_site_fract_z
Li1 Li 0.5000 0.5000 0.2463
Li2 Li 0.0000 0.0000 0.9699
Zr1 Zr 0.0000 0.0000 0.5216
Br1 Br 0.5000 0.5000 0.7621
```

Results
Magnetization   0.0 μB/f.u.
Space group   Cmm2
Calculated volume   22.655 Å³ per atom

## y
Compound: Li2ZrBr
Source: Alexandria via LeMat-Bulk
Functional: GGA-PBE
Structure: optimized geometry

```
data_Li2ZrBr
_symmetry_space_group_name_H-M 'P 1'
_symmetry_Int_Tables_number 1
_symmetry_space_group_name_Hall 'P 1'
_cell_length_a 6.2328
_cell_length_b 5.7839
_cell_length_c 3.1618
_cell_angle_alpha 89.96
_cell_angle_beta 59.60
_cell_angle_gamma 113.61
loop_
_atom_site_label
_atom_site_type_symbol
_atom_site_fract_x
_atom_site_fract_y
_atom_site_fract_z
Li1 Li 0.0000 0.0000 0.0000
Li2 Li 0.5000 0.0000 0.5000
Zr1 Zr 0.0000 0.5000 0.5000
Br1 Br 0.5000 0.5000 0.0000
```

Results
Magnetization   0.0 μB/f.u.
Space group   C2/m
Calculated volume   21.763 Å³ per atom

## z
Compound: Li2ZrBr
Source: Alexandria via LeMat-Bulk
Functional: GGA-PBE
Structure: optimized geometry

```
data_Li2ZrBr
_symmetry_space_group_name_H-M 'P 1'
_symmetry_Int_Tables_number 1
_symmetry_space_group_name_Hall 'P 1'
_cell_length_a 5.5548
_cell_length_b 5.5548
_cell_length_c 5.5548
_cell_angle_alpha 138.53
_cell_angle_beta 138.53
_cell_angle_gamma 60.10
loop_
_atom_site_label
_atom_site_type_symbol
_atom_site_fract_x
_atom_site_fract_y
_atom_site_fract_z
Li1 Li 0.0000 0.0000 0.0000
Li2 Li 0.2500 0.7500 0.5000
Br1 Br 0.7500 0.2500 0.5000
Zr1 Zr 0.5000 0.5000 0.0000
```

Results
Magnetization   0.2 μB/f.u.
Space group   I-4m2
Calculated volume   18.599 Å³ per atom

What is the stability order? It is x, y, z, w, from most stable to least stable.